# MgZnTe PBE relaxed
# - ΔE to the lowest computed polymorph: 217 meV per atom
# - Formation energy (no corrections): -0.0095 eV/atom
# - Electronic total energy: -2.013 eV per atom
# - Calculated volume: 69.7 Å³/f.u.
data_MgZnTe
_symmetry_space_group_name_H-M 'I 4 m m'
_symmetry_Int_Tables_number 107
_symmetry_space_group_name_Hall 'I 4 -2'
_cell_length_a 3.368
_cell_length_b 3.368
_cell_length_c 12.285
_cell_angle_alpha 90.00
_cell_angle_beta 90.00
_cell_angle_gamma 90.00
loop_
_atom_site_label
_atom_site_type_symbol
_atom_site_fract_x
_atom_site_fract_y
_atom_site_fract_z
Mg1 Mg 0.000 0.000 0.000
Zn1 Zn 0.000 0.000 0.359
Te1 Te 0.000 0.000 0.670



# SnOsRuN PBE relaxed
# - ΔE to the lowest computed polymorph: 251 meV per atom
# - Formation energy (no corrections): 0.5137 eV/atom
# - Electronic total energy: -7.695 eV per atom
# - Calculated volume: 59.7 Å³/f.u.
data_SnOsRuN
_symmetry_space_group_name_H-M 'C 1 m 1'
_symmetry_Int_Tables_number 8
_symmetry_space_group_name_Hall 'C -2y'
_cell_length_a 10.205
_cell_length_b 2.860
_cell_length_c 4.221
_cell_angle_alpha 90.00
_cell_angle_beta 104.27
_cell_angle_gamma 90.00
loop_
_atom_site_label
_atom_site_type_symbol
_atom_site_fract_x
_atom_site_fract_y
_atom_site_fract_z
Sn1 Sn 0.000 0.000 0.000
Os1 Os 0.223 0.500 0.813
Ru1 Ru 0.342 0.000 0.411
N1 N 0.159 0.000 0.473



# Zn2InRe PBE relaxed
# - DFT formation energy: 1.5 eV per formula unit
# - Electronic total energy: -4.057 eV per atom
# - Calculated volume: 66.2 Å³/f.u.
data_Zn2InRe
_symmetry_space_group_name_H-M 'P m m 2'
_symmetry_Int_Tables_number 25
_symmetry_space_group_name_Hall 'P 2 -2'
_cell_length_a 2.838
_cell_length_b 4.165
_cell_length_c 5.599
_cell_angle_alpha 90.00
_cell_angle_beta 90.00
_cell_angle_gamma 90.00
loop_
_atom_site_label
_atom_site_type_symbol
_atom_site_fract_x
_atom_site_fract_y
_atom_site_fract_z
Zn1 Zn 0.000 0.000 0.000
Zn2 Zn 0.500 0.500 0.241
In1 In 0.000 0.000 0.514
Re1 Re 0.500 0.500 0.772



Which formula does entry 3 have? Zn2InRe



Which of these has the lowest calculated volume? SnOsRuN



Which value of electronic total energy does entry 1 give? -2.013 eV per atom



The lowest calculated volume belongs to which entry? SnOsRuN